Entry 1:
VASP calculation (GGA-PBE) on a relaxed structure of LiFe2Re.

POSCAR file:
```
LiFe2Re
1.0
4.0741 0.0000 0.0000
2.0371 3.5283 0.0000
2.0371 1.1761 3.3265
Fe Li Re
2 1 1
direct
0.2500 0.2500 0.2500 Fe
0.0000 0.0000 0.0000 Fe
0.5000 0.5000 0.5000 Li
0.7500 0.7500 0.7500 Re
```

## Properties
Density ... 10.6 Mg/m³
Total magnetic moment ... 0.957 μB/atom
Offset from the most stable computed form ... 121 meV/atom
Crystal system ... cubic
ΔH_f (0 K) ... 0.268 eV per atom

Entry 2:
VASP calculation (GGA-PBE) on a relaxed structure of Pr4TeRh2.

POSCAR file:
```
Pr4TeRh2
1.0
4.2967 0.0000 0.0000
2.1483 3.7210 0.0000
2.1483 1.2403 13.2545
Rh Pr Te
2 4 1
direct
0.4054 0.4054 0.7839 Rh
0.5946 0.5946 0.2161 Rh
0.8873 0.8873 0.3382 Pr
0.7035 0.7035 0.8895 Pr
0.2965 0.2965 0.1105 Pr
0.1127 0.1127 0.6618 Pr
0.5000 0.5000 0.5000 Te
```

## Properties
Density ... 7.0 Mg/m³
Total magnetic moment ... 0.000 μB/atom
Crystal system ... trigonal
E_form (uncorrected) ... -0.753 eV/atom

Entry 3:
VASP calculation (GGA-PBE) on a relaxed structure of GaTePtN2.

POSCAR file:
```
GaTePtN2
1.0
3.8505 0.0000 0.0000
0.0000 3.8505 0.0000
0.0000 0.0000 6.3602
N Ga Pt Te
2 1 1 1
direct
0.5000 0.0000 0.0000 N
0.0000 0.5000 0.0000 N
0.0000 0.0000 0.0000 Ga
0.5000 0.5000 0.5000 Pt
0.0000 0.0000 0.5000 Te
```

## Properties
Density ... 7.4 Mg/m³
Total magnetic moment ... 0.688 μB/atom
Offset from the most stable computed form ... 276 meV/atom
Crystal system ... tetragonal
E_form (uncorrected) ... 1.294 eV/atom

Entry 4:
VASP calculation (GGA-PBE) on a relaxed structure of InAsAu2.

POSCAR file:
```
InAsAu2
1.0
-2.9473 -1.1965 2.1913
0.0456 -3.4154 -1.8035
3.7442 -2.0253 3.9302
Au In As
2 1 1
direct
0.0000 0.0000 0.9080 Au
0.5000 0.5000 0.3099 Au
0.0000 0.0000 0.4303 In
0.5000 0.5000 0.8518 As
```

## Properties
Density ... 11.2 Mg/m³
Total magnetic moment ... 0.000 μB/atom
Crystal system ... tetragonal
ΔH_f (0 K) ... 0.010 eV per atom

Entry 5:
VASP calculation (GGA-PBE) on a relaxed structure of Ca2SbPb.

POSCAR file:
```
Ca2SbPb
1.0
9.5629 0.0018 0.0011
8.5669 4.2493 0.0011
8.5669 2.0088 3.7445
Sb Pb Ca
1 1 2
direct
0.7553 0.7553 0.7553 Sb
0.4844 0.4844 0.4844 Pb
0.0194 0.0194 0.0194 Ca
0.2410 0.2410 0.2410 Ca
```

## Properties
Density ... 4.5 Mg/m³
Total magnetic moment ... 0.000 μB/atom
Offset from the most stable computed form ... 520 meV/atom
Crystal system ... trigonal
E_form (uncorrected) ... -0.167 eV/atom

Entry 6:
VASP calculation (GGA-PBE) on a relaxed structure of GaHPd3.

POSCAR file:
```
GaHPd3
1.0
-2.0273 -3.4116 -0.7394
1.8612 0.5140 3.5451
-8.7029 4.3170 3.9432
H Pd Ga
2 6 2
direct
0.3333 0.6667 0.7500 H
0.6667 0.3333 0.2500 H
0.6667 0.3333 0.4138 Pd
0.0000 0.0000 0.2500 Pd
0.0000 0.0000 0.7500 Pd
0.3333 0.6667 0.9138 Pd
0.3333 0.6667 0.5862 Pd
0.6667 0.3333 0.0862 Pd
0.0000 0.0000 0.0000 Ga
0.0000 0.0000 0.5000 Ga
```

## Properties
Density ... 8.8 Mg/m³
Total magnetic moment ... 0.000 μB/atom
Offset from the most stable computed form ... 222 meV/atom
Crystal system ... hexagonal

Entry 7:
VASP calculation (GGA-PBE) on a relaxed structure of ZrCoTeN2.

POSCAR file:
```
ZrCoTeN2
1.0
-0.3870 -0.3631 3.9062
-3.1544 -2.3047 -0.5268
2.8773 -3.9200 -0.0793
N Co Zr Te
2 1 1 1
direct
0.0000 0.5000 0.0000 N
0.5000 0.0000 0.0000 N
0.0000 0.0000 0.0000 Co
0.5000 0.5000 0.5000 Zr
0.0000 0.0000 0.5000 Te
```

## Properties
Density ... 6.7 Mg/m³
Total magnetic moment ... 0.339 μB/atom
Offset from the most stable computed form ... 80 meV/atom
Crystal system ... tetragonal
E_form (uncorrected) ... 0.838 eV/atom